Record 1
{
  "formula": "Pr3Er3Tm5",
  "functional": "GGA-PBE",
  "state": "relaxed",
  "final_energy_ev_per_atom": -3.76,
  "crystal_system": "hexagonal",
  "e_form_kj_per_mol_atoms": 79.44,
  "lattice": [[-3.564, 1.644, 3.685], [-3.984, -8.767, 0.057], [7.204, 2.054, 6.051]],
  "species": ["Er", "Er", "Er", "Pr", "Pr", "Pr", "Tm", "Tm", "Tm", "Tm", "Tm"],
  "frac_coords": [[0.000, 0.000, 0.545], [0.000, 0.455, 0.455], [0.000, 0.545, 0.000], [0.500, 0.634, 0.634], [0.500, 0.000, 0.366], [0.500, 0.366, 0.000], [0.500, 0.667, 0.333], [0.500, 0.333, 0.667], [0.500, 0.000, 0.734], [0.500, 0.734, 0.000], [0.500, 0.266, 0.266]]
}

Record 2
{
  "formula": "CaTl16Hg12",
  "functional": "GGA-PBE",
  "state": "relaxed",
  "final_energy_ev_per_atom": -1.54,
  "crystal_system": "monoclinic",
  "e_form_kj_per_mol_atoms": -3.97,
  "lattice": [[9.624, -0.042, -3.540], [-4.788, 8.348, -3.540], [-0.057, -0.098, 10.476]],
  "species": ["Tl", "Tl", "Tl", "Tl", "Tl", "Tl", "Tl", "Tl", "Tl", "Tl", "Tl", "Tl", "Tl", "Tl", "Tl", "Tl", "Hg", "Hg", "Hg", "Hg", "Hg", "Hg", "Hg", "Hg", "Hg", "Hg", "Hg", "Hg", "Ca"],
  "frac_coords": [[0.998, 0.682, 0.404], [0.717, 0.310, 0.315], [0.682, 0.998, 0.404], [0.679, 0.400, 0.996], [0.002, 0.396, 0.679], [0.997, 0.997, 0.997], [0.310, 0.717, 0.315], [0.400, 0.679, 0.996], [0.641, 0.994, 0.992], [0.322, 0.322, 0.700], [0.013, 0.013, 0.656], [0.396, 0.002, 0.679], [0.994, 0.641, 0.992], [0.289, 0.611, 0.609], [0.611, 0.289, 0.609], [0.355, 0.355, 0.363], [0.802, 0.802, 0.194], [0.378, 0.196, 0.008], [0.178, 0.990, 0.355], [0.812, 0.626, 0.620], [0.001, 0.373, 0.192], [0.990, 0.178, 0.355], [0.373, 0.001, 0.192], [0.626, 0.812, 0.620], [0.647, 0.647, 0.829], [0.182, 0.822, 0.821], [0.822, 0.182, 0.821], [0.196, 0.378, 0.008], [0.587, 0.587, 0.280]]
}

Record 3
{
  "formula": "MnSb2Rh",
  "functional": "GGA-PBE",
  "state": "relaxed",
  "e_form_raw_ev_per_atom": 0.3125,
  "final_energy_ev_per_atom": -5.88,
  "crystal_system": "cubic",
  "lattice": [[4.822, 0.000, 0.000], [2.411, 4.176, 0.000], [2.411, 1.392, 3.937]],
  "species": ["Sb", "Sb", "Mn", "Rh"],
  "frac_coords": [[0.000, 0.000, 0.000], [0.250, 0.250, 0.250], [0.500, 0.500, 0.500], [0.750, 0.750, 0.750]]
}

Record 4
{
  "formula": "LiZrSc2",
  "functional": "GGA-PBE",
  "state": "relaxed",
  "final_energy_ev_per_atom": -5.55,
  "crystal_system": "tetragonal",
  "e_form_kj_per_mol_atoms": 22.58,
  "lattice": [[-4.956, 2.481, 0.909], [-4.128, -1.941, -3.276], [3.866, -2.396, 3.296]],
  "species": ["Li", "Zr", "Sc", "Sc"],
  "frac_coords": [[0.750, 0.250, 0.500], [0.500, 0.500, 0.000], [0.000, 0.000, 0.000], [0.250, 0.750, 0.500]]
}